Below is a geometry-optimized Dy4SN2 structure, with properties calculated at the PBE level.

a = 7.167 Å, b = 7.167 Å, c = 6.133 Å
α = 115.23°, β = 115.23°, γ = 28.78°
Fractional positions:
Dy (0.143, 0.143, 0.306)
Dy (0.357, 0.357, 0.188)
Dy (0.643, 0.643, 0.812)
Dy (0.857, 0.857, 0.694)
S (0.000, 0.000, 0.500)
N (0.256, 0.256, 0.753)
N (0.744, 0.744, 0.247)

The uncorrected formation energy is -1.459 eV per atom.